No. 1
Computed, not measured: Th2Ni4Ge3Au after structural relaxation at the PBE level of DFT.

Geometry as POSCAR:
```
Th2Ni4Ge3Au
1.0
4.192 0.000 0.000
0.000 4.192 0.000
0.000 0.000 9.873
Th Ni Ge Au
2 4 3 1
Direct
0.000 0.500 0.239
0.500 0.000 0.761
0.000 0.000 0.000
0.000 0.500 0.641
0.500 0.000 0.359
0.500 0.500 0.000
0.000 0.500 0.877
0.500 0.000 0.123
0.500 0.500 0.500
0.000 0.000 0.500
```

No. 2
Computed, not measured: TlNiGeAu2 after structural relaxation at the PBE level of DFT.

Geometry as POSCAR:
```
TlNiGeAu2
1.0
5.055 0.000 0.000
0.000 5.055 0.000
0.000 0.000 4.361
Tl Ni Ge Au
1 1 1 2
Direct
0.000 0.000 0.000
0.500 0.500 0.500
0.500 0.500 0.000
0.000 0.500 0.500
0.500 0.000 0.500
```

No. 3
Computed, not measured: Tm2Ni3Ge4Au after structural relaxation at the PBE level of DFT.

Geometry as POSCAR:
```
Tm2Ni3Ge4Au
1.0
4.119 0.000 0.000
0.000 4.119 0.000
0.000 0.000 9.879
Tm Ni Ge Au
2 3 4 1
Direct
0.000 0.500 0.243
0.500 0.000 0.757
0.000 0.500 0.881
0.500 0.000 0.119
0.500 0.500 0.500
0.000 0.000 0.000
0.000 0.500 0.649
0.500 0.000 0.351
0.500 0.500 0.000
0.000 0.000 0.500
```

No. 4
Computed, not measured: U2Ni3Ge4Au after structural relaxation at the PBE level of DFT.

Geometry as POSCAR:
```
U2Ni3Ge4Au
1.0
4.139 0.000 0.000
0.000 4.139 0.000
0.000 0.000 9.918
U Ni Ge Au
2 3 4 1
Direct
0.000 0.500 0.241
0.500 0.000 0.759
0.000 0.500 0.881
0.500 0.000 0.119
0.500 0.500 0.500
0.000 0.000 0.000
0.000 0.500 0.649
0.500 0.000 0.351
0.500 0.500 0.000
0.000 0.000 0.500
```

No. 5
Computed, not measured: NiGeW2Au after structural relaxation at the PBE level of DFT.

Geometry as POSCAR:
```
NiGeW2Au
1.0
4.657 0.000 0.000
0.000 4.657 0.000
0.000 0.000 4.196
Ni Ge W Au
1 1 2 1
Direct
0.000 0.000 0.000
0.000 0.000 0.500
0.000 0.500 0.500
0.500 0.000 0.500
0.500 0.500 0.000
```

No. 6
Computed, not measured: Y2Ni3Ge4Au after structural relaxation at the PBE level of DFT.

Geometry as POSCAR:
```
Y2Ni3Ge4Au
1.0
4.158 0.000 0.000
0.000 4.158 0.000
0.000 0.000 9.874
Y Ni Ge Au
2 3 4 1
Direct
0.000 0.500 0.243
0.500 0.000 0.757
0.000 0.500 0.883
0.500 0.000 0.117
0.500 0.500 0.500
0.000 0.000 0.000
0.000 0.500 0.648
0.500 0.000 0.352
0.500 0.500 0.000
0.000 0.000 0.500
```

No. 7
Computed, not measured: Np3Ge4Au7 after structural relaxation at the PBE level of DFT.

Geometry as POSCAR:
```
Np3Ge4Au7
1.0
8.130 -2.228 0.000
8.130 2.228 0.000
-5.491 0.000 7.860
Np Ge Au
3 4 7
Direct
0.000 0.000 0.000
0.303 0.303 0.300
0.697 0.697 0.700
0.133 0.133 0.847
0.336 0.336 0.716
0.664 0.664 0.284
0.867 0.867 0.153
0.000 0.000 0.500
0.150 0.150 0.419
0.337 0.337 0.982
0.489 0.489 0.684
0.511 0.511 0.316
0.663 0.663 0.018
0.850 0.850 0.581
```

No. 8
Computed, not measured: NpGe2Au6 after structural relaxation at the PBE level of DFT.

Geometry as POSCAR:
```
NpGe2Au6
1.0
4.796 -4.693 0.000
4.796 4.693 0.000
-2.102 0.000 3.989
Np Ge Au
1 2 6
Direct
0.000 0.000 0.000
0.353 0.353 0.354
0.647 0.647 0.646
0.162 0.489 0.827
0.214 0.786 0.500
0.489 0.162 0.827
0.511 0.838 0.173
0.786 0.214 0.500
0.838 0.511 0.173
```

No. 9
Computed, not measured: NpGe2Au4 after structural relaxation at the PBE level of DFT.

Geometry as POSCAR:
```
NpGe2Au4
1.0
8.078 0.000 0.000
0.000 8.078 0.000
0.000 0.000 4.289
Np Ge Au
2 4 8
Direct
0.000 0.000 0.000
0.500 0.500 0.500
0.228 0.228 0.500
0.272 0.728 0.000
0.728 0.272 0.000
0.772 0.772 0.500
0.073 0.676 0.500
0.176 0.427 0.000
0.324 0.927 0.500
0.427 0.176 0.000
0.573 0.824 0.000
0.676 0.073 0.500
0.824 0.573 0.000
0.927 0.324 0.500
```

No. 10
Computed, not measured: NpGe2Au after structural relaxation at the PBE level of DFT.

Geometry as POSCAR:
```
NpGe2Au
1.0
3.491 0.000 0.000
0.000 3.491 0.000
0.000 0.000 6.639
Np Ge Au
1 2 1
Direct
0.000 0.000 0.000
0.500 0.500 0.294
0.500 0.500 0.706
0.000 0.000 0.500
```

No. 11
Computed, not measured: NpGe2Au after structural relaxation at the PBE level of DFT.

Geometry as POSCAR:
```
NpGe2Au
1.0
0.000 3.422 3.422
3.422 0.000 3.422
3.422 3.422 0.000
Np Ge Au
1 2 1
Direct
0.000 0.000 0.000
0.250 0.250 0.250
0.750 0.750 0.750
0.500 0.500 0.500
```

No. 12
Computed, not measured: Np2Ge7Au12 after structural relaxation at the PBE level of DFT.

Geometry as POSCAR:
```
Np2Ge7Au12
1.0
10.129 0.000 0.000
-5.065 8.772 0.000
0.000 0.000 4.754
Np Ge Au
2 7 12
Direct
0.333 0.667 0.232
0.667 0.333 0.768
0.000 0.000 0.500
0.113 0.724 0.657
0.276 0.390 0.657
0.390 0.113 0.343
0.610 0.887 0.657
0.724 0.610 0.343
0.887 0.276 0.343
0.070 0.461 0.781
0.124 0.265 0.176
0.141 0.876 0.176
0.265 0.141 0.824
0.391 0.930 0.781
0.461 0.391 0.219
0.539 0.609 0.781
0.609 0.070 0.219
0.735 0.859 0.176
0.859 0.124 0.824
0.876 0.735 0.824
0.930 0.539 0.219
```

no.,magnetic moment (μB/atom),raw total energy (eV per atom),formation enthalpy at 0 K (eV per formula unit)
1,0.00,-6.138,-6.28
2,0.00,-3.679,0.93
3,0.00,-5.407,-6.04
4,0.45,-6.504,-3.37
5,0.00,-6.543,6.87
6,0.00,-5.846,-6.44
7,0.86,-5.889,-2.21
8,0.44,-4.679,-0.27
9,0.61,-5.103,-0.44
10,1.22,-6.284,0.32
11,1.00,-6.359,0.02
12,0.40,-4.677,-0.69